CaZrSi2 | Alexandria | PBE-GGA | optimized geometry; space group = P4/mmm (123); ΔE_f (raw) = -253 meV/atom; energy above the lowest structure with this stoichiometry = 314.2 meV/atom; DOS(E_F) = 0.519 states/eV per atom; density = 3.92 g cm⁻³; crystal system = tetragonal
1.0
5.1858 0.0000 0.0000
0.0000 5.1858 0.0000
0.0000 0.0000 2.9495
Ca Zr Si
1 1 2
Cartesian
0.0000 0.0000 0.0000
2.5929 2.5929 0.0000
0.0000 2.5929 1.4748
2.5929 0.0000 1.4748